[1]
This record from Alexandria via LeMat-Bulk describes a relaxed structure of Pm9Y4Cd11. The functional is PBE.

POSCAR file:
```
Pm9Y4Cd11
1.0
-2.645 -0.509 2.360
-9.520 1.423 -10.366
3.795 -13.563 1.327
Pm Cd Y
9 11 4
Direct
0.500 0.377 0.849
0.500 0.029 0.207
0.500 0.500 0.500
0.500 0.793 0.971
0.500 0.849 0.377
0.500 0.151 0.623
0.500 0.971 0.793
0.500 0.623 0.151
0.500 0.207 0.029
0.000 0.414 0.054
0.000 0.173 0.827
0.000 0.000 0.000
0.000 0.946 0.586
0.000 0.054 0.414
0.000 0.765 0.765
0.000 0.369 0.631
0.000 0.631 0.369
0.000 0.586 0.946
0.000 0.235 0.235
0.000 0.827 0.173
0.500 0.252 0.428
0.500 0.428 0.252
0.500 0.748 0.572
0.500 0.572 0.748
```

Computed properties:
* formation energy: -0.249 eV per atom
* symmetry: Cmmm
* energy: -3.53 eV/atom



[2]
This record from Alexandria via LeMat-Bulk describes a relaxed structure of Ba2Hg3Au2. The functional is PBE.

POSCAR file:
```
Ba2Hg3Au2
1.0
-1.505 0.185 -3.994
4.189 -1.243 -1.636
-5.004 -9.980 1.424
Ba Au Hg
2 2 3
Direct
0.000 0.841 0.683
0.000 0.159 0.317
0.500 0.712 0.424
0.500 0.288 0.576
0.500 0.431 0.862
0.500 0.569 0.138
0.000 0.000 0.000
```

Computed properties:
* formation energy: -0.521 eV per atom
* symmetry: Cmmm
* energy: -2.14 eV/atom



[3]
This record from Alexandria via LeMat-Bulk describes a relaxed structure of PmCdCuAu. The functional is PBE.

POSCAR file:
```
PmCdCuAu
1.0
-4.617 0.362 1.667
-3.618 -2.500 -2.211
-2.100 -3.823 2.281
Cu Cd Au Pm
1 1 1 1
Direct
0.750 0.750 0.750
0.000 0.000 0.000
0.250 0.250 0.250
0.500 0.500 0.500
```

Computed properties:
* formation energy: -0.399 eV per atom
* symmetry: F-43m
* energy: -3.66 eV/atom



[4]
This record from Alexandria via LeMat-Bulk describes a relaxed structure of KTl10Pb3. The functional is PBE.

POSCAR file:
```
KTl10Pb3
1.0
-5.426 8.858 -4.526
-11.077 1.436 1.906
-3.555 8.464 6.642
Tl Pb K
20 6 2
Direct
0.382 0.382 0.855
0.618 0.145 0.618
0.382 0.855 0.382
0.145 0.618 0.618
0.000 0.361 0.639
0.361 0.000 0.000
0.000 0.639 0.000
0.639 0.000 0.000
0.000 0.000 0.361
0.855 0.382 0.382
0.618 0.618 0.618
0.618 0.618 0.145
0.000 0.000 0.639
0.000 0.639 0.361
0.639 0.361 0.000
0.000 0.361 0.000
0.639 0.000 0.361
0.361 0.639 0.000
0.361 0.000 0.639
0.382 0.382 0.382
0.739 0.739 0.261
0.739 0.261 0.739
0.261 0.261 0.739
0.261 0.739 0.261
0.261 0.739 0.739
0.739 0.261 0.261
0.750 0.750 0.750
0.250 0.250 0.250
```

Computed properties:
* formation energy: 0.080 eV per atom
* symmetry: Fm-3m
* energy: -2.48 eV/atom



[5]
This record from Alexandria via LeMat-Bulk describes a relaxed structure of La2PuSe4. The functional is PBE.

POSCAR file:
```
La2PuSe4
1.0
4.183 0.000 0.000
-2.091 7.104 0.000
0.000 0.000 14.136
Se Pu La
8 2 4
Direct
0.976 0.952 0.750
0.500 0.000 0.000
0.776 0.553 0.375
0.024 0.048 0.250
0.776 0.553 0.125
0.224 0.447 0.625
0.224 0.447 0.875
0.500 0.000 0.500
0.622 0.244 0.750
0.378 0.756 0.250
0.867 0.735 0.928
0.133 0.265 0.072
0.133 0.265 0.428
0.867 0.735 0.572
```

Computed properties:
* symmetry: Cmcm
* raw formation energy: -1.80 eV per atom
* energy: -7.25 eV/atom



[6]
This record from Alexandria via LeMat-Bulk describes a relaxed structure of NiPt4. The functional is PBE.

POSCAR file:
```
NiPt4
1.0
3.906 0.000 0.000
1.953 4.367 0.000
-1.953 0.000 4.367
Pt Ni
4 1
Direct
0.202 0.194 0.598
0.396 0.402 0.194
0.604 0.598 0.806
0.798 0.806 0.402
0.000 0.000 0.000
```

Computed properties:
* formation energy: -0.043 eV per atom
* symmetry: I4/m
* energy: -6.03 eV/atom



[7]
This record from Alexandria via LeMat-Bulk describes a relaxed structure of Ta3Cl. The functional is PBE.

POSCAR file:
```
Ta3Cl
1.0
-1.537 -1.779 -3.724
-2.775 -2.872 2.518
-5.394 5.050 -0.186
Ta Cl
6 2
Direct
0.000 0.195 0.280
0.000 0.738 0.500
0.500 0.805 0.220
0.500 0.262 0.000
0.500 0.805 0.780
0.000 0.195 0.720
0.000 0.516 0.000
0.500 0.484 0.500
```

Computed properties:
* symmetry: Pmmn
* raw formation energy: 0.49 eV per atom
* energy: -8.86 eV/atom



[8]
This record from Alexandria via LeMat-Bulk describes a relaxed structure of EuHoCdPt. The functional is PBE.

POSCAR file:
```
EuHoCdPt
1.0
-1.335 1.595 -4.721
-4.716 -1.016 -1.829
-3.426 3.816 -0.561
Ho Pt Eu Cd
1 1 1 1
Direct
0.250 0.250 0.250
0.000 0.000 0.000
0.750 0.750 0.750
0.500 0.500 0.500
```

Computed properties:
* formation energy: -0.629 eV per atom
* symmetry: F-43m
* energy: -6.08 eV/atom



[9]
This record from Alexandria via LeMat-Bulk describes a relaxed structure of Ac2PbO. The functional is PBE.

POSCAR file:
```
Ac2PbO
1.0
-3.469 -3.233 -2.265
-1.677 -4.269 2.566
-7.557 1.628 3.152
Pb O Ac
1 1 2
Direct
0.500 0.500 0.500
0.000 0.000 0.000
0.905 0.905 0.284
0.095 0.095 0.716
```

Computed properties:
* symmetry: R-3m
* raw formation energy: -1.40 eV per atom
* energy: -5.62 eV/atom



[10]
This record from Alexandria via LeMat-Bulk describes a relaxed structure of La2Al3Au2. The functional is PBE.

POSCAR file:
```
La2Al3Au2
1.0
4.394 0.000 -1.047
0.000 7.448 0.000
0.036 0.000 9.889
La Al Au
4 6 4
Direct
0.842 0.750 0.684
0.943 0.250 0.887
0.158 0.250 0.316
0.057 0.750 0.113
0.775 0.250 0.550
0.559 0.076 0.118
0.559 0.424 0.118
0.225 0.750 0.450
0.441 0.924 0.882
0.441 0.576 0.882
0.688 0.949 0.376
0.312 0.051 0.624
0.688 0.551 0.376
0.312 0.449 0.624
```

Computed properties:
* formation energy: -0.595 eV per atom
* symmetry: Cmcm
* energy: -4.54 eV/atom



[11]
This record from Alexandria via LeMat-Bulk describes a relaxed structure of AcYCdSb. The functional is PBE.

POSCAR file:
```
AcYCdSb
1.0
5.559 0.000 0.000
2.779 4.814 0.000
2.779 1.605 4.539
Y Sb Ac Cd
1 1 1 1
Direct
0.500 0.500 0.500
0.250 0.250 0.250
0.000 0.000 0.000
0.750 0.750 0.750
```

Computed properties:
* symmetry: F-43m
* raw formation energy: -0.52 eV per atom
* energy: -4.42 eV/atom



[12]
This record from Alexandria via LeMat-Bulk describes a relaxed structure of DyYCuRu. The functional is PBE.

POSCAR file:
```
DyYCuRu
1.0
4.865 0.000 0.000
2.432 4.213 0.000
2.432 1.404 3.972
Dy Ru Y Cu
1 1 1 1
Direct
0.750 0.750 0.750
0.000 0.000 0.000
0.250 0.250 0.250
0.500 0.500 0.500
```

Computed properties:
* formation energy: -0.323 eV per atom
* symmetry: F-43m
* energy: -6.43 eV/atom